1.
This record from the Alexandria database describes a relaxed structure of Sc4CrCd. The functional is PBE.

Computed properties:
ΔE_f in meV/atom: 432
Crystal system: cubic

Lattice parameters (Å, degrees): 8.189 8.189 8.189 90.00 90.00 90.00
Space group F-43m (No. 216)
Unique sites:
Sc 0.124 0.124 0.376 (multiplicity 16)
Cr 0.250 0.250 0.750 (multiplicity 4)
Cd 0.000 0.000 0.000 (multiplicity 4)



2.
This record from the Alexandria database describes a relaxed structure of ScCrCd. The functional is PBE.

Computed properties:
ΔE_f in meV/atom: 505
Energy above the most stable polymorph in this dataset in meV/atom: 330
Crystal system: cubic

Lattice parameters (Å, degrees): 6.489 6.489 6.489 90.00 90.00 90.00
Space group F-43m (No. 216)
Unique sites:
Sc 0.000 0.000 0.000 (multiplicity 4)
Cr 0.250 0.250 0.750 (multiplicity 4)
Cd 0.000 0.000 0.500 (multiplicity 4)



3.
This record from the Alexandria database describes a relaxed structure of ScCr2Cd. The functional is PBE.

Computed properties:
ΔE_f in meV/atom: 582
Crystal system: trigonal

Lattice parameters (Å, degrees): 3.0596 3.0596 27.9276 90.00 90.00 120.00
Space group R-3m (No. 166, hexagonal axes)
Unique sites:
Sc 0.0000 0.0000 0.0000 (multiplicity 3)
Cr 0.0000 0.0000 0.2517 (multiplicity 6)
Cd 0.0000 0.0000 0.5000 (multiplicity 3)



4.
This record from the Alexandria database describes a relaxed structure of Sc2CrCd. The functional is PBE.

Computed properties:
ΔE_f in meV/atom: 190
Crystal system: trigonal

Lattice parameters (Å, degrees): 3.1708 3.1708 28.4211 90.00 90.00 120.00
Space group R-3m (No. 166, hexagonal axes)
Unique sites:
Sc 0.0000 0.0000 0.2412 (multiplicity 6)
Cr 0.0000 0.0000 0.5000 (multiplicity 3)
Cd 0.0000 0.0000 0.0000 (multiplicity 3)



5.
This record from the Alexandria database describes a relaxed structure of ScCr2Cd. The functional is PBE.

Computed properties:
ΔE_f in meV/atom: 461
Crystal system: monoclinic

Lattice parameters (Å, degrees): 10.196 3.180 4.864 90.00 115.33 90.00
Space group C2/m (No. 12)
Unique sites:
Sc 0.000 0.000 0.000 (multiplicity 2)
Cr 0.246 0.000 0.839 (multiplicity 4)
Cd 0.000 0.500 0.500 (multiplicity 2)



6.
This record from the Alexandria database describes a relaxed structure of ScCr2Cd. The functional is PBE.

Computed properties:
ΔE_f in meV/atom: 605
Crystal system: orthorhombic

Lattice parameters (Å, degrees): 3.547 4.068 8.959 90.00 90.00 90.00
Space group Cmmm (No. 65)
Unique sites:
Sc 0.000 0.000 0.000 (multiplicity 2)
Cr 0.000 0.500 0.250 (multiplicity 4)
Cd 0.000 0.000 0.500 (multiplicity 2)



7.
This record from the Alexandria database describes a relaxed structure of Sc2CrCd. The functional is PBE.

Computed properties:
ΔE_f in meV/atom: 166
Crystal system: tetragonal

Lattice parameters (Å, degrees): 3.539 3.539 6.752 90.00 90.00 90.00
Space group P4mm (No. 99)
Unique sites:
Sc 0.000 0.000 0.000 (multiplicity 1)
Sc 0.500 0.500 0.285 (multiplicity 1)
Cr 0.500 0.500 0.774 (multiplicity 1)
Cd 0.000 0.000 0.542 (multiplicity 1)



8.
This record from the Alexandria database describes a relaxed structure of Sc2CrCd. The functional is PBE.

Computed properties:
ΔE_f in meV/atom: 111
Crystal system: tetragonal

Lattice parameters (Å, degrees): 4.294 4.294 8.882 90.00 90.00 90.00
Space group I-4m2 (No. 119)
Unique sites:
Sc 0.000 0.000 0.000 (multiplicity 2)
Sc 0.000 0.500 0.250 (multiplicity 2)
Cr 0.000 0.000 0.500 (multiplicity 2)
Cd 0.000 0.500 0.750 (multiplicity 2)



9.
This record from the Alexandria database describes a relaxed structure of Sc2CrCd. The functional is PBE.

Computed properties:
ΔE_f in meV/atom: 123
Crystal system: cubic

Lattice parameters (Å, degrees): 6.872 6.872 6.872 90.00 90.00 90.00
Space group F-43m (No. 216)
Unique sites:
Sc 0.000 0.000 0.000 (multiplicity 4)
Sc 0.250 0.250 0.250 (multiplicity 4)
Cr 0.250 0.250 0.750 (multiplicity 4)
Cd 0.000 0.000 0.500 (multiplicity 4)



10.
This record from the Alexandria database describes a relaxed structure of Sc2CrCd. The functional is PBE.

Computed properties:
ΔE_f in meV/atom: 100
Crystal system: monoclinic

Lattice parameters (Å, degrees): 10.581 3.301 4.985 90.00 107.75 90.00
Space group Cm (No. 8)
Unique sites:
Sc 0.000 0.000 0.000 (multiplicity 2)
Sc 0.224 0.000 0.677 (multiplicity 2)
Cr 0.481 0.000 0.501 (multiplicity 2)
Cd 0.254 0.500 0.204 (multiplicity 2)



11.
This record from the Alexandria database describes a relaxed structure of ScCr2Cd. The functional is PBE.

Computed properties:
ΔE_f in meV/atom: 471
Crystal system: monoclinic

Lattice parameters (Å, degrees): 2.858 4.656 5.284 90.00 95.64 90.00
Space group P2/m (No. 10)
Unique sites:
Sc 0.000 0.000 0.000 (multiplicity 1)
Cr 0.339 0.500 0.819 (multiplicity 2)
Cd 0.500 0.000 0.500 (multiplicity 1)



12.
This record from the Alexandria database describes a relaxed structure of ScCr2Cd. The functional is PBE.

Computed properties:
ΔE_f in meV/atom: 337
Crystal system: trigonal

Lattice parameters (Å, degrees): 2.9645 2.9645 26.7037 90.00 90.00 120.00
Space group R3m (No. 160, hexagonal axes)
Unique sites:
Sc 0.0000 0.0000 0.0000 (multiplicity 3)
Cr 0.0000 0.0000 0.4739 (multiplicity 3)
Cr 0.0000 0.0000 0.7515 (multiplicity 3)
Cd 0.0000 0.0000 0.2315 (multiplicity 3)



13.
This record from the Alexandria database describes a relaxed structure of ScCr2Cd. The functional is PBE.

Computed properties:
ΔE_f in meV/atom: 226
Crystal system: orthorhombic

Lattice parameters (Å, degrees): 3.944 4.670 7.769 90.00 90.00 90.00
Space group Imm2 (No. 44)
Unique sites:
Sc 0.000 0.000 0.000 (multiplicity 2)
Cr 0.000 0.000 0.549 (multiplicity 2)
Cr 0.000 0.500 0.233 (multiplicity 2)
Cd 0.000 0.500 0.778 (multiplicity 2)



14.
This record from the Alexandria database describes a relaxed structure of Sc2CrCd. The functional is PBE.

Computed properties:
ΔE_f in meV/atom: 40
Crystal system: orthorhombic

Lattice parameters (Å, degrees): 3.524 4.847 4.846 90.00 90.00 90.00
Space group Pmm2 (No. 25)
Unique sites:
Sc 0.000 0.000 0.000 (multiplicity 1)
Sc 0.000 0.500 0.499 (multiplicity 1)
Cr 0.500 0.000 0.500 (multiplicity 1)
Cd 0.500 0.500 0.999 (multiplicity 1)



15.
This record from the Alexandria database describes a relaxed structure of ScCrCd. The functional is PBE.

Computed properties:
ΔE_f in meV/atom: 206
Energy above the most stable polymorph in this dataset in meV/atom: 31
Crystal system: trigonal

Lattice parameters (Å, degrees): 4.7632 4.7632 3.0887 90.00 90.00 120.00
Space group P3m1 (No. 156)
Unique sites:
Sc 0.0000 0.0000 0.0000 (multiplicity 1)
Cr 0.6667 0.3333 0.5891 (multiplicity 1)
Cd 0.3333 0.6667 0.4417 (multiplicity 1)



16.
This record from the Alexandria database describes a relaxed structure of Sc2CrCd. The functional is PBE.

Computed properties:
ΔE_f in meV/atom: 294
Crystal system: trigonal

Lattice parameters (Å, degrees): 3.1626 3.1626 29.5767 90.00 90.00 120.00
Space group R3m (No. 160, hexagonal axes)
Unique sites:
Sc 0.0000 0.0000 0.0000 (multiplicity 3)
Sc 0.0000 0.0000 0.2417 (multiplicity 3)
Cr 0.0000 0.0000 0.4990 (multiplicity 3)
Cd 0.0000 0.0000 0.7538 (multiplicity 3)



17.
This record from the Alexandria database describes a relaxed structure of Sc2CrCd. The functional is PBE.

Computed properties:
ΔE_f in meV/atom: 152
Crystal system: orthorhombic

Lattice parameters (Å, degrees): 3.229 4.247 6.128 90.00 90.00 90.00
Space group Pmm2 (No. 25)
Unique sites:
Sc 0.000 0.000 0.000 (multiplicity 1)
Sc 0.500 0.500 0.289 (multiplicity 1)
Cr 0.500 0.500 0.799 (multiplicity 1)
Cd 0.000 0.000 0.528 (multiplicity 1)



18.
This record from the Alexandria database describes a relaxed structure of ScCr3Cd. The functional is PBE.

Computed properties:
ΔE_f in meV/atom: 1444
Crystal system: cubic

Lattice parameters (Å, degrees): 4.992 4.992 4.992 90.00 90.00 90.00
Space group Pm-3m (No. 221)
Unique sites:
Sc 0.000 0.000 0.000 (multiplicity 1)
Cr 0.000 0.500 0.500 (multiplicity 3)
Cd 0.500 0.500 0.500 (multiplicity 1)



19.
This record from the Alexandria database describes a relaxed structure of ScCr2Cd. The functional is PBE.

Computed properties:
ΔE_f in meV/atom: 425
Crystal system: tetragonal

Lattice parameters (Å, degrees): 3.442 3.442 6.334 90.00 90.00 90.00
Space group P4/mmm (No. 123)
Unique sites:
Sc 0.000 0.000 0.000 (multiplicity 1)
Cr 0.500 0.500 0.251 (multiplicity 2)
Cd 0.000 0.000 0.500 (multiplicity 1)



20.
This record from the Alexandria database describes a relaxed structure of ScCr2CdSe. The functional is PBE.

Computed properties:
Crystal system: tetragonal
Raw formation energy in eV/atom: 1.096

Lattice parameters (Å, degrees): 5.052 5.052 5.243 90.00 90.00 90.00
Space group P4/mmm (No. 123)
Unique sites:
Sc 0.000 0.000 0.000 (multiplicity 1)
Cr 0.000 0.500 0.500 (multiplicity 2)
Cd 0.500 0.500 0.500 (multiplicity 1)
Se 0.500 0.500 0.000 (multiplicity 1)